# PBE KTaZn, optimized geometry
data_KTaZn
_chemical_formula_sum 'K4 Ta4 Zn4'
_space_group_name_H-M_alt 'P 1'
_space_group_IT_number 1
_cell_length_a 6.753
_cell_length_b 6.753
_cell_length_c 6.753
_cell_angle_alpha 90.00
_cell_angle_beta 90.00
_cell_angle_gamma 90.00
loop_
_space_group_symop_operation_xyz
'x,y,z'
loop_
_atom_site_label
_atom_site_type_symbol
_atom_site_fract_x
_atom_site_fract_y
_atom_site_fract_z
K1 K 0.000 0.000 0.000
K2 K 0.000 0.500 0.500
K3 K 0.500 0.000 0.500
K4 K 0.500 0.500 0.000
Ta1 Ta 0.250 0.250 0.750
Ta2 Ta 0.250 0.750 0.250
Ta3 Ta 0.750 0.250 0.250
Ta4 Ta 0.750 0.750 0.750
Zn1 Zn 0.000 0.000 0.500
Zn2 Zn 0.000 0.500 0.000
Zn3 Zn 0.500 0.000 0.000
Zn4 Zn 0.500 0.500 0.500
# calculated volume = 76.98 Å³/f.u.
# formation enthalpy at 0 K = 1.8804 eV per atom
# spin magnetization = 0.00 μB/cell
# E above lowest polymorph = 153.2 kJ per mole of atoms
# calculated total energy = -2.861 eV/atom

***

# PBE KTa2Zn, optimized geometry
data_KTa2Zn
_chemical_formula_sum 'K2 Ta4 Zn2'
_space_group_name_H-M_alt 'P 1'
_space_group_IT_number 1
_cell_length_a 4.015
_cell_length_b 4.015
_cell_length_c 10.855
_cell_angle_alpha 90.00
_cell_angle_beta 90.00
_cell_angle_gamma 90.00
loop_
_space_group_symop_operation_xyz
'x,y,z'
loop_
_atom_site_label
_atom_site_type_symbol
_atom_site_fract_x
_atom_site_fract_y
_atom_site_fract_z
K1 K 0.000 0.000 0.000
K2 K 0.500 0.500 0.500
Ta1 Ta 0.000 0.500 0.250
Ta2 Ta 0.000 0.500 0.750
Ta3 Ta 0.500 0.000 0.250
Ta4 Ta 0.500 0.000 0.750
Zn1 Zn 0.000 0.000 0.500
Zn2 Zn 0.500 0.500 0.000
# calculated volume = 87.51 Å³/f.u.
# formation enthalpy at 0 K = 1.3179 eV per atom
# spin magnetization = 0.00 μB/cell
# calculated total energy = -5.201 eV/atom

***

# PBE K2TaZn, optimized geometry
data_K2TaZn
_chemical_formula_sum 'K4 Ta2 Zn2'
_space_group_name_H-M_alt 'P 1'
_space_group_IT_number 1
_cell_length_a 3.212
_cell_length_b 4.279
_cell_length_c 20.651
_cell_angle_alpha 90.00
_cell_angle_beta 90.00
_cell_angle_gamma 90.00
loop_
_space_group_symop_operation_xyz
'x,y,z'
loop_
_atom_site_label
_atom_site_type_symbol
_atom_site_fract_x
_atom_site_fract_y
_atom_site_fract_z
K1 K 0.000 0.000 0.148
K2 K 0.000 0.000 0.852
K3 K 0.500 0.500 0.352
K4 K 0.500 0.500 0.648
Ta1 Ta 0.000 0.500 0.000
Ta2 Ta 0.500 0.000 0.500
Zn1 Zn 0.000 0.500 0.500
Zn2 Zn 0.500 0.000 0.000
# calculated volume = 141.95 Å³/f.u.
# formation enthalpy at 0 K = 0.7645 eV per atom
# spin magnetization = 2.21 μB/cell
# calculated total energy = -3.066 eV/atom

***

# PBE K2TaZn, optimized geometry
data_K2TaZn
_chemical_formula_sum 'K8 Ta4 Zn4'
_space_group_name_H-M_alt 'P 1'
_space_group_IT_number 1
_cell_length_a 7.868
_cell_length_b 7.868
_cell_length_c 7.868
_cell_angle_alpha 90.00
_cell_angle_beta 90.00
_cell_angle_gamma 90.00
loop_
_space_group_symop_operation_xyz
'x,y,z'
loop_
_atom_site_label
_atom_site_type_symbol
_atom_site_fract_x
_atom_site_fract_y
_atom_site_fract_z
K1 K 0.000 0.000 0.000
K2 K 0.000 0.500 0.500
K3 K 0.250 0.250 0.250
K4 K 0.250 0.750 0.750
K5 K 0.500 0.000 0.500
K6 K 0.500 0.500 0.000
K7 K 0.750 0.250 0.750
K8 K 0.750 0.750 0.250
Ta1 Ta 0.250 0.250 0.750
Ta2 Ta 0.250 0.750 0.250
Ta3 Ta 0.750 0.250 0.250
Ta4 Ta 0.750 0.750 0.750
Zn1 Zn 0.000 0.000 0.500
Zn2 Zn 0.000 0.500 0.000
Zn3 Zn 0.500 0.000 0.000
Zn4 Zn 0.500 0.500 0.500
# calculated volume = 121.79 Å³/f.u.
# formation enthalpy at 0 K = 1.3477 eV per atom
# spin magnetization = 17.44 μB/cell
# calculated total energy = -2.483 eV/atom